A plane-wave DFT calculation with PBE-GGA was carried out for P2OsN after structural relaxation.

## Properties
Its density of states at the Fermi level is 0.4003 states/eV per atom. As for the final energy: -7.43 eV per atom.

Unit cell a=6.338 b=5.992 c=3.438 alpha=90.00 beta=118.26 gamma=90.00
Fractional coordinates of all 8 atoms:
P 0.000 0.218 0.000
P 0.000 0.782 0.000
P 0.500 0.282 0.000
P 0.500 0.718 0.000
Os 0.304 0.500 0.321
Os 0.804 0.000 0.321
N 0.148 0.000 0.907
N 0.648 0.500 0.907